The following is a SCAN calculation of a crystal of BeCo2Se relaxed with PBEsol, from the Alexandria database.

Summary:
Formation energy without anion corrections: 3.36 kcal/mol of atoms
Theoretical density: 8.0 g cm⁻³
Size of the total moment: 1.762 μB/cell

Lattice parameters (Å, degrees): 3.917 3.917 3.917 60.00 60.00 60.00
Fractional coordinates of all 4 atoms:
Co  0.750  0.750  0.750
Co  0.250  0.250  0.250
Se  0.500  0.500  0.500
Be  0.000  0.000  0.000